[1]
A relaxed BeBiPO2 crystal, computed with PBEsol.

Computed properties:
calculated volume	61.6	Å³/cell
space-group type	P4/mmm (123)
total magnetization	0.00	μB/f.u.
calculated density	7.58	g cm⁻³
uncorrected formation energy	-329	meV/atom
DOS(E_F)	3.5	states/eV/cell
energy	-0.3854	Ry per atom

Cell lengths 3.758, 3.758, 4.358 Å; angles 90.00, 90.00, 90.00 degrees
Atoms (fractional coordinates):
1 P 0.000 0.000 0.500
2 Bi 0.500 0.500 0.500
3 O 0.000 0.500 0.000
4 O 0.500 0.000 0.000
5 Be 0.000 0.000 0.000


[2]
A relaxed LiIn2Hg crystal, computed with PBEsol.

Computed properties:
calculated volume	85.9	Å³/cell
space-group type	P4/mmm (123)
total magnetization	0.00	μB/f.u.
calculated density	8.45	g cm⁻³
energy of formation from the pure elements	-0.208	eV/atom
DOS(E_F)	1.2	states/eV/cell
energy	-0.1714	Ry per atom

Cell lengths 4.391, 4.391, 4.455 Å; angles 90.00, 90.00, 90.00 degrees
Atoms (fractional coordinates):
1 In 0.000 0.500 0.000
2 In 0.500 0.000 0.000
3 Hg 0.000 0.000 0.500
4 Li 0.500 0.500 0.500


[3]
A relaxed BeSbAs2 crystal, computed with PBEsol.

Computed properties:
energy above the most stable polymorph in this dataset	44.3	kJ per mole of atoms
calculated volume	75.5	Å³/cell
space-group type	I4/mmm (139)
total magnetization	0.00	μB/f.u.
calculated density	6.17	g cm⁻³
uncorrected formation energy	516	meV/atom
DOS(E_F)	1.9	states/eV/cell
energy	-0.3069	Ry per atom

Cell lengths 3.757, 3.757, 5.972 Å; angles 108.34, 108.34, 90.00 degrees
Atoms (fractional coordinates):
1 Sb 0.000 0.000 0.000
2 As 0.750 0.250 0.500
3 As 0.250 0.750 0.500
4 Be 0.500 0.500 0.000


[4]
A relaxed RuW3N crystal, computed with PBEsol.

Computed properties:
calculated volume	97.8	Å³/cell
space-group type	Pm-3m (221)
total magnetization	0.00	μB/f.u.
calculated density	11.32	g cm⁻³
uncorrected formation energy	3136	meV/atom
DOS(E_F)	5.2	states/eV/cell
energy	-0.6533	Ry per atom

Cell lengths 4.607, 4.607, 4.607 Å; angles 90.00, 90.00, 90.00 degrees
Atoms (fractional coordinates):
1 Ru 0.000 0.000 0.000
2 W 0.000 0.500 0.000
3 W 0.000 0.000 0.500
4 W 0.500 0.000 0.000
5 N 0.500 0.500 0.500


[5]
A relaxed Y2InGa2 crystal, computed with PBEsol.

Computed properties:
energy above the most stable polymorph in this dataset	56.6	kJ per mole of atoms
calculated volume	128.4	Å³/cell
space-group type	I4/mmm (139)
total magnetization	0.01	μB/f.u.
calculated density	5.59	g cm⁻³
energy of formation from the pure elements	-0.118	eV/atom
DOS(E_F)	5.4	states/eV/cell
energy	-0.3513	Ry per atom

Cell lengths 4.769, 4.769, 6.576 Å; angles 111.26, 111.26, 90.00 degrees
Atoms (fractional coordinates):
1 Y 0.250 0.750 0.500
2 Y 0.750 0.250 0.500
3 Ga 0.398 0.398 0.796
4 Ga 0.602 0.602 0.204
5 In 0.000 0.000 0.000


[6]
A relaxed TbRe2 crystal, computed with PBEsol.

Computed properties:
calculated volume	218.6	Å³/cell
space-group type	P6_3/mmc (194)
total magnetization	0.00	μB/f.u.
calculated density	16.15	g cm⁻³
energy of formation from the pure elements	-0.180	eV/atom
DOS(E_F)	8.3	states/eV/cell
energy	-0.7893	Ry per atom

Cell lengths 5.377, 5.377, 8.729 Å; angles 90.00, 90.00, 120.00 degrees
Atoms (fractional coordinates):
1 Re 0.171 0.341 0.750
2 Re 0.171 0.829 0.750
3 Re 0.341 0.171 0.250
4 Re 0.829 0.659 0.250
5 Re 0.659 0.829 0.750
6 Re 0.000 0.000 0.000
7 Re 0.829 0.171 0.250
8 Re 0.000 0.000 0.500
9 Tb 0.333 0.667 0.438
10 Tb 0.667 0.333 0.562
11 Tb 0.667 0.333 0.938
12 Tb 0.333 0.667 0.062